No. 1
Density functional theory data (GGA-PBE) for a relaxed structure of Si3PdI.

Geometry as POSCAR:
```
Si3PdI
1.0
4.826 0.000 0.000
0.000 4.826 0.000
0.000 0.000 4.826
Si Pd I
3 1 1
Cartesian
0.000 0.000 2.413 Si
0.000 2.413 0.000 Si
2.413 0.000 0.000 Si
0.000 0.000 0.000 Pd
2.413 2.413 2.413 I
```

## Properties
density of states at the Fermi level	0.66	states/eV per atom
final energy	-20.225	eV/f.u.
energy relative to the lowest polymorph listed for this composition	0	meV per atom
formation energy from raw total energies	557	meV/atom

No. 2
Density functional theory data (GGA-PBE) for a relaxed structure of Si2PdI.

Geometry as POSCAR:
```
Si2PdI
1.0
0.000 3.403 3.403
3.403 0.000 3.403
3.403 3.403 0.000
Si Pd I
2 1 1
Cartesian
1.701 1.701 1.701 Si
5.104 5.104 5.104 Si
0.000 0.000 0.000 Pd
3.403 3.403 3.403 I
```

## Properties
density of states at the Fermi level	0.66	states/eV per atom
final energy	-14.539	eV/f.u.
energy relative to the lowest polymorph listed for this composition	494	meV per atom
formation energy from raw total energies	762	meV/atom

No. 3
Density functional theory data (GGA-PBE) for a relaxed structure of Si2PdI.

Geometry as POSCAR:
```
Si2PdI
1.0
-2.962 2.962 6.235
2.962 -2.962 6.235
2.962 2.962 -6.235
Si Pd I
4 2 2
Cartesian
4.443 0.850 -1.559 Si
0.850 1.481 1.559 Si
-1.481 2.112 4.676 Si
2.112 1.481 7.794 Si
0.000 0.000 0.000 Pd
0.000 2.962 3.117 Pd
2.962 0.000 3.117 I
0.000 0.000 6.235 I
```

## Properties
density of states at the Fermi level	0.39	states/eV per atom
final energy	-16.516	eV/f.u.
energy relative to the lowest polymorph listed for this composition	0	meV per atom
formation energy from raw total energies	268	meV/atom

No. 4
Density functional theory data (GGA-PBE) for a relaxed structure of SiPd3I.

Geometry as POSCAR:
```
SiPd3I
1.0
4.664 0.000 0.000
0.000 4.664 0.000
0.000 0.000 4.664
Si Pd I
1 3 1
Cartesian
0.000 0.000 0.000 Si
0.000 0.000 2.332 Pd
0.000 2.332 0.000 Pd
2.332 0.000 0.000 Pd
2.332 2.332 2.332 I
```

## Properties
density of states at the Fermi level	0.31	states/eV per atom
final energy	-22.290	eV/f.u.
energy relative to the lowest polymorph listed for this composition	0	meV per atom
formation energy from raw total energies	52	meV/atom

No. 5
Density functional theory data (GGA-PBE) for a relaxed structure of SiPd3I.

Geometry as POSCAR:
```
SiPd3I
1.0
4.990 0.000 0.000
0.000 4.990 0.000
0.000 0.000 4.990
Si Pd I
1 3 1
Cartesian
0.000 0.000 0.000 Si
0.000 2.495 2.495 Pd
2.495 0.000 2.495 Pd
2.495 2.495 0.000 Pd
2.495 2.495 2.495 I
```

## Properties
density of states at the Fermi level	0.86	states/eV per atom
final energy	-18.108	eV/f.u.
energy relative to the lowest polymorph listed for this composition	836	meV per atom
formation energy from raw total energies	889	meV/atom

No. 6
Density functional theory data (GGA-PBE) for a relaxed structure of SrSi2PdI.

Geometry as POSCAR:
```
SrSi2PdI
1.0
4.633 0.000 0.000
0.000 4.633 0.000
0.000 0.000 6.615
Sr Si Pd I
1 2 1 1
Cartesian
0.000 0.000 0.000 Sr
0.000 2.317 3.307 Si
2.317 0.000 3.307 Si
0.000 0.000 3.307 Pd
2.317 2.317 0.000 I
```

## Properties
density of states at the Fermi level	0.66	states/eV per atom
final energy	-20.779	eV/f.u.
formation energy from raw total energies	-302	meV/atom

No. 7
Density functional theory data (GGA-PBE) for a relaxed structure of SiTePdI2.

Geometry as POSCAR:
```
SiTePdI2
1.0
5.458 0.000 0.000
0.000 5.458 0.000
0.000 0.000 5.355
Si Te Pd I
1 1 1 2
Cartesian
0.000 0.000 0.000 Si
0.000 0.000 2.678 Te
2.729 2.729 2.678 Pd
0.000 2.729 0.000 I
2.729 0.000 0.000 I
```

## Properties
density of states at the Fermi level	1.38	states/eV per atom
final energy	-13.687	eV/f.u.
energy relative to the lowest polymorph listed for this composition	100	meV per atom
formation energy from raw total energies	634	meV/atom

No. 8
Density functional theory data (GGA-PBE) for a relaxed structure of SiTePdI2.

Geometry as POSCAR:
```
SiTePdI2
1.0
5.387 0.000 0.000
0.000 5.387 0.000
0.000 0.000 5.385
Si Te Pd I
1 1 1 2
Cartesian
0.000 0.000 0.000 Si
2.693 2.693 0.000 Te
2.693 2.693 2.692 Pd
0.000 2.693 2.692 I
2.693 0.000 2.692 I
```

## Properties
density of states at the Fermi level	0.80	states/eV per atom
final energy	-14.187	eV/f.u.
energy relative to the lowest polymorph listed for this composition	0	meV per atom
formation energy from raw total energies	534	meV/atom